No. 1
Below is a geometry-optimized ScCuRu4 structure, with properties calculated at the PBE level.

POSCAR file:
```
ScCuRu4
1.0
0.000 3.623 3.623
3.623 0.000 3.623
3.623 3.623 0.000
Sc Cu Ru
1 1 4
direct
0.000 0.000 0.000 Sc
0.250 0.250 0.250 Cu
0.127 0.624 0.624 Ru
0.624 0.127 0.624 Ru
0.624 0.624 0.127 Ru
0.624 0.624 0.624 Ru
```

## Properties
DFT total energy ... -7.7555 eV/atom
DOS(E_F) ... 1.524 states/eV/atom
Space-group type ... F-43m

No. 2
Below is a geometry-optimized Gd2ErHg structure, with properties calculated at the PBE level.

POSCAR file:
```
Gd2ErHg
1.0
7.671 0.000 0.000
0.000 7.671 0.000
0.000 0.000 7.671
Gd Er Hg
8 4 4
direct
0.250 0.250 0.250 Gd
0.250 0.250 0.750 Gd
0.250 0.750 0.250 Gd
0.250 0.750 0.750 Gd
0.750 0.250 0.250 Gd
0.750 0.250 0.750 Gd
0.750 0.750 0.250 Gd
0.750 0.750 0.750 Gd
0.000 0.000 0.000 Er
0.000 0.500 0.500 Er
0.500 0.000 0.500 Er
0.500 0.500 0.000 Er
0.000 0.000 0.500 Hg
0.000 0.500 0.000 Hg
0.500 0.000 0.000 Hg
0.500 0.500 0.500 Hg
```

## Properties
DOS(E_F) ... 1.336 states/eV/atom
Space-group type ... Fm-3m
Energy above the lowest structure with this stoichiometry ... 138.2 meV per atom

No. 3
Below is a geometry-optimized LiFe2W structure, with properties calculated at the PBE level.

POSCAR file:
```
LiFe2W
1.0
3.496 0.000 0.000
0.000 3.496 0.000
0.000 0.000 8.010
Li Fe W
2 4 2
direct
0.000 0.000 0.000 Li
0.500 0.500 0.500 Li
0.000 0.000 0.500 Fe
0.000 0.500 0.250 Fe
0.500 0.000 0.750 Fe
0.500 0.500 0.000 Fe
0.000 0.500 0.750 W
0.500 0.000 0.250 W
```

## Properties
DFT total energy ... -7.6047 eV/atom
DOS(E_F) ... 0.912 states/eV/atom
Space-group type ... I-4m2

No. 4
Below is a geometry-optimized InGaAs3 structure, with properties calculated at the PBE level.

POSCAR file:
```
InGaAs3
1.0
4.990 0.000 0.000
0.000 4.990 0.000
0.000 0.000 4.990
In Ga As
1 1 3
direct
0.000 0.000 0.000 In
0.500 0.500 0.500 Ga
0.000 0.500 0.500 As
0.500 0.000 0.500 As
0.500 0.500 0.000 As
```

## Properties
DOS(E_F) ... 1.314 states/eV/atom
Space-group type ... Pm-3m
Energy above the lowest structure with this stoichiometry ... 0.0 meV per atom

No. 5
Below is a geometry-optimized CaDyGa3 structure, with properties calculated at the PBE level.

POSCAR file:
```
CaDyGa3
1.0
2.037 -13.199 0.000
2.037 13.199 0.000
0.000 0.000 4.256
Ca Dy Ga
2 2 6
direct
0.205 0.795 0.750 Ca
0.795 0.205 0.250 Ca
0.069 0.931 0.250 Dy
0.931 0.069 0.750 Dy
0.331 0.669 0.750 Ga
0.384 0.616 0.250 Ga
0.477 0.523 0.250 Ga
0.523 0.477 0.750 Ga
0.616 0.384 0.750 Ga
0.669 0.331 0.250 Ga
```

## Properties
DOS(E_F) ... 0.492 states/eV/atom
Space-group type ... Cmcm
Energy above the lowest structure with this stoichiometry ... 0.0 meV per atom

No. 6
Below is a geometry-optimized CaAlIn2 structure, with properties calculated at the PBE level.

POSCAR file:
```
CaAlIn2
1.0
6.434 0.000 0.000
0.000 8.692 0.000
0.000 0.000 3.602
Ca Al In
2 2 4
direct
0.000 0.000 0.000 Ca
0.500 0.500 0.000 Ca
0.000 0.500 0.000 Al
0.500 0.000 0.000 Al
0.250 0.250 0.500 In
0.250 0.750 0.500 In
0.750 0.250 0.500 In
0.750 0.750 0.500 In
```

## Properties
DFT total energy ... -2.9382 eV/atom
DOS(E_F) ... 0.330 states/eV/atom
Space-group type ... Cmmm

- What is the DOS(E_F) in the first record?
  1.524 states/eV/atom

Please write out number 4 again, unchanged.
Below is a geometry-optimized InGaAs3 structure, with properties calculated at the PBE level.

POSCAR file:
```
InGaAs3
1.0
4.990 0.000 0.000
0.000 4.990 0.000
0.000 0.000 4.990
In Ga As
1 1 3
direct
0.000 0.000 0.000 In
0.500 0.500 0.500 Ga
0.000 0.500 0.500 As
0.500 0.000 0.500 As
0.500 0.500 0.000 As
```

## Properties
DOS(E_F) ... 1.314 states/eV/atom
Space-group type ... Pm-3m
Energy above the lowest structure with this stoichiometry ... 0.0 meV per atom

- DOS(E_F) of number 2 (Gd2ErHg)?
  1.336 states/eV/atom